Record 1
## CeYMg4 (PBE)

Data for a geometry-optimized CeYMg4 structure.

Geometry as extended XYZ:
```
6
Lattice="0.0000 4.2822 4.2822 4.2822 0.0000 4.2822 4.2822 4.2822 0.0000" Properties=species:S:1:pos:R:3 pbc="T T T"
Ce 0.0000 0.0000 0.0000
Y 2.1411 2.1411 2.1411
Mg 5.3513 3.2131 3.2131
Mg 3.2131 5.3513 3.2131
Mg 3.2131 3.2131 5.3513
Mg 5.3513 5.3513 5.3513
```

- V: 157.0 Å³ per cell
- Total energy: -3.17 eV per atom
- DFT formation energy: -0.039 eV per atom
- DOS(E_F): 10.7 states/eV per cell
- Spin magnetization: 1.2 μB per formula unit

Record 2
## SrY3Ru (PBE)

Data for a geometry-optimized SrY3Ru structure.

Geometry as extended XYZ:
```
5
Lattice="5.4996 0.0000 0.0000 0.0000 5.4996 0.0000 0.0000 0.0000 5.4996" Properties=species:S:1:pos:R:3 pbc="T T T"
Sr 0.0000 0.0000 0.0000
Y 0.0000 2.7498 2.7498
Y 2.7498 0.0000 2.7498
Y 2.7498 2.7498 0.0000
Ru 2.7498 2.7498 2.7498
```

- Energy relative to the lowest polymorph listed for this composition: 33.1 meV per atom
- V: 166.3 Å³ per cell
- Total energy: -6.21 eV per atom
- DFT formation energy: -0.144 eV per atom
- DOS(E_F): 3.2 states/eV per cell
- Spin magnetization: 0.0 μB per formula unit

Record 3
## PmSb3 (PBE)

Data for a geometry-optimized PmSb3 structure.

Geometry as extended XYZ:
```
4
Lattice="4.4046 0.0000 0.0000 0.0000 6.2459 0.0000 0.0000 0.0000 4.6080" Properties=species:S:1:pos:R:3 pbc="T T T"
Pm 0.0000 0.0000 0.0000
Sb 0.0000 3.1229 3.9711
Sb 2.2023 0.0000 2.2384
Sb 2.2023 3.1229 1.3357
```

- Energy relative to the lowest polymorph listed for this composition: 1.8 meV per atom
- V: 126.8 Å³ per cell
- Total energy: -4.78 eV per atom
- DOS(E_F): 0.3 states/eV per cell
- Spin magnetization: 0.0 μB per formula unit

Record 4
## SmTh3Pb5 (PBE)

Data for a geometry-optimized SmTh3Pb5 structure.

Geometry as extended XYZ:
```
18
Lattice="9.7847 0.0000 0.0000 -4.8923 8.4738 0.0000 0.0000 0.0000 6.5801" Properties=species:S:1:pos:R:3 pbc="T T T"
Sm 0.0000 0.0000 0.0000
Sm 0.0000 0.0000 3.2901
Th -1.8762 3.2496 1.6450
Th -3.0162 5.2242 4.9351
Th 3.7523 0.0000 1.6450
Th 1.8762 3.2496 4.9351
Th 6.0324 0.0000 4.9351
Th 3.0162 5.2242 1.6450
Pb -1.3790 2.3886 4.9351
Pb -3.5133 6.0852 1.6450
Pb 2.7581 0.0000 4.9351
Pb 1.3790 2.3886 1.6450
Pb 0.0000 5.6492 0.0000
Pb 0.0000 5.6492 3.2901
Pb 4.8923 2.8246 0.0000
Pb 4.8923 2.8246 3.2901
Pb 7.0266 0.0000 1.6450
Pb 3.5133 6.0852 4.9351
```

- V: 545.6 Å³ per cell
- Total energy: -5.40 eV per atom
- DFT formation energy: -0.346 eV per atom
- DOS(E_F): 18.3 states/eV per cell
- Spin magnetization: 0.0 μB per formula unit

Record 5
## KNa2CrSe4 (PBE)

Data for a geometry-optimized KNa2CrSe4 structure.

Geometry as extended XYZ:
```
8
Lattice="-3.7623 3.7623 4.2270 3.7623 -3.7623 4.2270 3.7623 3.7623 -4.2270" Properties=species:S:1:pos:R:3 pbc="T T T"
K 0.0000 0.0000 0.0000
Na 3.7623 0.0000 2.1135
Na 0.0000 3.7623 2.1135
Cr 0.0000 0.0000 4.2270
Se 2.4317 2.4317 -1.2759
Se 1.3306 -1.3306 5.5029
Se 1.3306 1.3306 2.9512
Se -1.3306 1.3306 5.5029
```

- V: 239.3 Å³ per cell
- Total energy: -4.19 eV per atom
- DOS(E_F): 4.2 states/eV per cell
- Spin magnetization: 1.0 μB per formula unit

Record 6
## BaNb3Hg (PBE)

Data for a geometry-optimized BaNb3Hg structure.

Geometry as extended XYZ:
```
5
Lattice="5.0670 0.0000 0.0000 0.0000 5.0670 0.0000 0.0000 0.0000 5.0670" Properties=species:S:1:pos:R:3 pbc="T T T"
Ba 0.0000 0.0000 0.0000
Nb 0.0000 0.0000 2.5335
Nb 0.0000 2.5335 0.0000
Nb 2.5335 0.0000 0.0000
Hg 2.5335 2.5335 2.5335
```

- Energy relative to the lowest polymorph listed for this composition: 725.4 meV per atom
- V: 130.1 Å³ per cell
- Total energy: -4.09 eV per atom
- DFT formation energy: 2.393 eV per atom
- DOS(E_F): 6.2 states/eV per cell
- Spin magnetization: 0.0 μB per formula unit

Record 7
## ZrGa2As2 (PBE)

Data for a geometry-optimized ZrGa2As2 structure.

Geometry as extended XYZ:
```
5
Lattice="-1.8374 1.8374 7.4869 1.8374 -1.8374 7.4869 1.8374 1.8374 -7.4869" Properties=species:S:1:pos:R:3 pbc="T T T"
Zr 0.0000 0.0000 0.0000
Ga 1.8374 0.0000 3.7435
Ga 0.0000 1.8374 3.7435
As 0.0000 0.0000 6.1695
As 0.0000 0.0000 8.8043
```

- V: 101.1 Å³ per cell
- Total energy: -5.04 eV per atom
- DFT formation energy: -0.260 eV per atom
- DOS(E_F): 2.5 states/eV per cell
- Spin magnetization: 0.0 μB per formula unit

Record 8
## Si2AsH (PBE)

Data for a geometry-optimized Si2AsH structure.

Geometry as extended XYZ:
```
8
Lattice="-2.1619 2.1619 6.5564 2.1619 -2.1619 6.5564 2.1619 2.1619 -6.5564" Properties=species:S:1:pos:R:3 pbc="T T T"
Si 3.2428 0.5469 -1.6391
Si 0.5469 1.0809 1.6391
Si -1.0809 1.6150 4.9173
Si 1.6150 1.0809 8.1955
As 2.1619 0.0000 3.2782
As 0.0000 0.0000 6.5564
H 0.0000 0.0000 0.0000
H 0.0000 2.1619 3.2782
```

- Energy relative to the lowest polymorph listed for this composition: 0.0 meV per atom
- V: 122.6 Å³ per cell
- Total energy: -4.22 eV per atom
- DOS(E_F): 2.7 states/eV per cell
- Spin magnetization: 0.0 μB per formula unit

Record 9
## Tm12Co6Ni (PBE)

Data for a geometry-optimized Tm12Co6Ni structure.

Geometry as extended XYZ:
```
19
Lattice="5.9676 3.4454 3.6383 -5.9676 3.4454 3.6383 0.0000 -6.8908 3.6383" Properties=species:S:1:pos:R:3 pbc="T T T"
Tm -3.7281 -3.7973 5.9631
Tm -5.1527 1.3300 4.9517
Tm -1.4044 -1.8898 4.2248
Tm 1.4245 -5.1273 4.9517
Tm -0.9344 2.1612 4.2248
Tm -2.3388 0.2714 6.6901
Tm 2.3388 -0.2714 4.2248
Tm 0.9344 -2.1612 6.6901
Tm -1.4245 5.1273 5.9631
Tm 1.4044 1.8898 6.6901
Tm 5.1527 -1.3300 5.9631
Tm 3.7281 3.7973 4.9517
Co -2.8842 0.4676 3.8467
Co 1.0372 -2.7316 3.8467
Co -1.8471 -2.2640 7.0681
Co 1.8470 2.2640 3.8467
Co -1.0372 2.7316 7.0681
Co 2.8842 -0.4676 7.0681
Ni 0.0000 0.0000 0.0000
```

- Energy relative to the lowest polymorph listed for this composition: 102.0 meV per atom
- V: 448.8 Å³ per cell
- Total energy: -5.48 eV per atom
- DFT formation energy: -0.110 eV per atom
- DOS(E_F): 10.0 states/eV per cell
- Spin magnetization: 0.0 μB per formula unit

Record 10
## NdGa3Ni (PBE)

Data for a geometry-optimized NdGa3Ni structure.

Geometry as extended XYZ:
```
5
Lattice="4.6045 0.0000 0.0000 0.0000 4.6045 0.0000 0.0000 0.0000 4.6045" Properties=species:S:1:pos:R:3 pbc="T T T"
Nd 0.0000 0.0000 0.0000
Ga 0.0000 2.3022 2.3022
Ga 2.3022 0.0000 2.3022
Ga 2.3022 2.3022 0.0000
Ni 2.3022 2.3022 2.3022
```

- Energy relative to the lowest polymorph listed for this composition: 215.2 meV per atom
- V: 97.6 Å³ per cell
- Total energy: -4.32 eV per atom
- DFT formation energy: -0.396 eV per atom
- DOS(E_F): 3.2 states/eV per cell
- Spin magnetization: 0.0 μB per formula unit

Record 11
## YIr2Pt (PBE)

Data for a geometry-optimized YIr2Pt structure.

Geometry as extended XYZ:
```
4
Lattice="4.7540 -1.5018 0.0000 4.7540 1.5018 0.0000 -0.9827 0.0000 4.8825" Properties=species:S:1:pos:R:3 pbc="T T T"
Y 0.0000 0.0000 0.0000
Ir 1.6174 0.0000 3.3802
Ir 4.2881 0.0000 2.5283
Pt 6.9510 0.0000 1.2167
```

- Energy relative to the lowest polymorph listed for this composition: 239.0 meV per atom
- V: 69.7 Å³ per cell
- Total energy: -7.87 eV per atom
- DFT formation energy: -0.311 eV per atom
- DOS(E_F): 3.5 states/eV per cell
- Spin magnetization: 0.0 μB per formula unit

Record 12
## TaCrCu2 (PBE)

Data for a geometry-optimized TaCrCu2 structure.

Geometry as extended XYZ:
```
4
Lattice="3.2402 0.0000 0.0000 0.0000 3.2402 0.0000 0.0000 0.0000 5.3462" Properties=species:S:1:pos:R:3 pbc="T T T"
Ta 0.0000 0.0000 0.0000
Cr 0.0000 0.0000 2.6731
Cu 1.6201 1.6201 1.4010
Cu 1.6201 1.6201 3.9452
```

- Energy relative to the lowest polymorph listed for this composition: 147.1 meV per atom
- V: 56.1 Å³ per cell
- Total energy: -7.08 eV per atom
- DFT formation energy: 0.334 eV per atom
- DOS(E_F): 3.9 states/eV per cell
- Spin magnetization: 1.8 μB per formula unit